DFT (PBE-GGA) results for a relaxed structure of Pr5DyTh2.

Lattice parameters (Å, degrees): 3.579 11.509 9.052 129.47 101.40 90.00
Positions (direct):
Pr 0.630 0.870 0.260
Pr 0.630 0.390 0.260
Dy 0.000 0.000 0.000
Pr 0.370 0.610 0.740
Th 0.259 0.759 0.517
Pr 0.000 0.500 0.000
Th 0.741 0.241 0.483
Pr 0.370 0.130 0.740

Results
Size of the total moment   0.0 μB/cell
V   34.8 Å³ per atom
Formation energy from the elements   0.109 eV/atom

***

DFT (PBE-GGA) results for a relaxed structure of Pr5Dy4Th.

Lattice parameters (Å, degrees): 3.598 10.682 9.391 83.57 101.04 90.00
Positions (direct):
Dy 0.048 0.238 0.096
Dy 0.320 0.919 0.640
Pr 0.191 0.400 0.382
Pr 0.138 0.779 0.275
Pr 0.809 0.600 0.618
Pr 0.500 0.500 0.000
Dy 0.952 0.762 0.904
Th 0.500 0.000 0.000
Pr 0.862 0.221 0.725
Dy 0.680 0.081 0.360

Results
Size of the total moment   0.0 μB/cell
V   35.2 Å³ per atom
Excess energy over the best structure of this formula in the dataset   0 meV/atom
Formation energy from the elements   0.143 eV/atom

***

DFT (PBE-GGA) results for a relaxed structure of Pr12Dy3Th.

Lattice parameters (Å, degrees): 5.200 5.200 20.762 90.00 90.00 90.00
Positions (direct):
Pr 0.500 0.500 0.252
Pr 0.500 0.000 0.876
Pr 0.000 0.500 0.876
Pr 0.500 0.500 0.500
Pr 0.500 0.000 0.375
Pr 0.000 0.500 0.625
Pr 0.500 0.500 0.000
Dy 0.000 0.000 0.749
Dy 0.000 0.000 0.500
Dy 0.000 0.000 0.251
Pr 0.500 0.000 0.124
Pr 0.000 0.500 0.375
Pr 0.000 0.500 0.124
Pr 0.500 0.500 0.748
Th 0.000 0.000 0.000
Pr 0.500 0.000 0.625

Results
Size of the total moment   0.0 μB/cell
V   35.1 Å³ per atom
Formation energy from the elements   0.027 eV/atom

***

DFT (PBE-GGA) results for a relaxed structure of PrDy6Th4.

Lattice parameters (Å, degrees): 5.893 3.442 18.198 95.43 99.32 90.00
Positions (direct):
Dy 0.097 0.597 0.194
Dy 0.368 0.868 0.737
Dy 0.267 0.767 0.534
Dy 0.632 0.132 0.263
Th 0.817 0.817 0.635
Th 0.183 0.183 0.365
Pr 0.000 0.000 0.000
Th 0.545 0.545 0.089
Th 0.455 0.455 0.911
Dy 0.733 0.233 0.466
Dy 0.903 0.403 0.806

Results
Size of the total moment   0.0 μB/cell
V   33.0 Å³ per atom
Formation energy from the elements   0.175 eV/atom

***

DFT (PBE-GGA) results for a relaxed structure of Pr4DyTh.

Lattice parameters (Å, degrees): 3.652 9.692 12.187 148.70 90.32 100.75
Positions (direct):
Pr 0.829 0.658 0.493
Pr 0.333 0.666 0.995
Pr 0.171 0.342 0.506
Th 0.000 0.000 0.000
Dy 0.500 0.000 0.500
Pr 0.667 0.334 0.005

Results
Size of the total moment   0.0 μB/cell
V   34.7 Å³ per atom
Excess energy over the best structure of this formula in the dataset   0 meV/atom
Formation energy from the elements   0.043 eV/atom

***

DFT (PBE-GGA) results for a relaxed structure of Pr5DyTh.

Lattice parameters (Å, degrees): 9.980 6.649 12.268 74.70 90.00 138.63
Positions (direct):
Pr 0.984 0.588 0.839
Pr 0.604 0.588 0.339
Pr 0.533 0.769 0.036
Pr 0.467 0.231 0.964
Pr 0.016 0.412 0.161
Pr 0.855 0.000 0.750
Dy 0.493 0.000 0.250
Dy 0.507 0.000 0.750
Th 0.000 0.000 0.000
Pr 0.764 0.231 0.464
Pr 0.145 0.000 0.250
Pr 0.396 0.412 0.661
Th 0.000 0.000 0.500
Pr 0.236 0.769 0.536

Results
Size of the total moment   0.0 μB/cell
V   35.2 Å³ per atom
Formation energy from the elements   0.146 eV/atom

***

DFT (PBE-GGA) results for a relaxed structure of PrDy6Th.

Lattice parameters (Å, degrees): 5.044 5.044 10.082 90.00 90.00 90.00
Positions (direct):
Dy 0.000 0.500 0.745
Dy 0.500 0.000 0.255
Dy 0.000 0.500 0.255
Dy 0.500 0.500 0.000
Dy 0.500 0.000 0.745
Th 0.000 0.000 0.500
Dy 0.500 0.500 0.500
Pr 0.000 0.000 0.000

Results
Size of the total moment   0.0 μB/cell
V   32.1 Å³ per atom
Excess energy over the best structure of this formula in the dataset   0 meV/atom
Formation energy from the elements   0.026 eV/atom

***

DFT (PBE-GGA) results for a relaxed structure of PrDy2Th.

Lattice parameters (Å, degrees): 3.601 3.601 10.124 90.00 90.00 90.00
Positions (direct):
Th 0.500 0.500 0.000
Pr 0.500 0.500 0.500
Dy 0.000 0.000 0.239
Dy 0.000 0.000 0.761

Results
Size of the total moment   0.0 μB/cell
V   32.8 Å³ per atom
Excess energy over the best structure of this formula in the dataset   2 meV/atom
Formation energy from the elements   0.016 eV/atom

***

DFT (PBE-GGA) results for a relaxed structure of Pr2Dy6Th.

Lattice parameters (Å, degrees): 3.589 3.589 26.653 90.00 90.00 120.00
Positions (direct):
Dy 0.667 0.333 0.109
Dy 0.333 0.667 0.563
Th 0.333 0.667 0.000
Dy 0.333 0.667 0.437
Pr 0.667 0.333 0.329
Pr 0.667 0.333 0.671
Dy 0.333 0.667 0.215
Dy 0.667 0.333 0.891
Dy 0.333 0.667 0.785

Results
Size of the total moment   0.0 μB/cell
V   33.0 Å³ per atom
Excess energy over the best structure of this formula in the dataset   0 meV/atom
Formation energy from the elements   0.074 eV/atom

***

DFT (PBE-GGA) results for a relaxed structure of Pr5Dy3Th2.

Lattice parameters (Å, degrees): 10.072 10.062 11.204 128.74 128.76 66.85
Positions (direct):
Dy 0.978 0.220 0.752
Pr 0.621 0.869 0.243
Pr 0.122 0.374 0.243
Pr 0.379 0.131 0.757
Th 0.470 0.727 0.754
Th 0.784 0.028 0.754
Dy 0.274 0.532 0.752
Dy 0.726 0.468 0.248
Dy 0.022 0.780 0.248
Pr 0.485 0.735 0.469
Th 0.216 0.972 0.246
Pr 0.023 0.773 0.547
Pr 0.724 0.474 0.948
Dy 0.769 0.019 0.037
Pr 0.276 0.526 0.052
Pr 0.878 0.626 0.757
Th 0.530 0.273 0.246
Dy 0.231 0.981 0.963
Pr 0.515 0.265 0.531
Pr 0.977 0.227 0.453

Results
Size of the total moment   0.0 μB/cell
V   34.5 Å³ per atom
Formation energy from the elements   0.212 eV/atom

***

DFT (PBE-GGA) results for a relaxed structure of Pr6Dy2Th.

Lattice parameters (Å, degrees): 3.676 10.255 10.255 125.47 85.66 85.66
Positions (direct):
Dy 0.500 0.839 0.161
Th 0.000 0.000 0.000
Pr 0.183 0.840 0.499
Pr 0.327 0.327 0.327
Pr 0.817 0.160 0.501
Pr 0.817 0.501 0.160
Pr 0.183 0.499 0.840
Pr 0.673 0.673 0.673
Dy 0.500 0.161 0.839

Results
Size of the total moment   0.0 μB/cell
V   34.5 Å³ per atom
Excess energy over the best structure of this formula in the dataset   48 meV/atom
Formation energy from the elements   0.110 eV/atom

***

DFT (PBE-GGA) results for a relaxed structure of Pr4Dy15Th.

Lattice parameters (Å, degrees): 5.072 5.072 25.190 90.00 90.00 90.00
Positions (direct):
Dy 0.000 0.500 0.701
Dy 0.000 0.500 0.097
Dy 0.500 0.500 0.399
Pr 0.000 0.000 0.199
Pr 0.000 0.000 0.600
Dy 0.000 0.500 0.903
Pr 0.000 0.000 0.400
Dy 0.500 0.500 0.801
Dy 0.000 0.500 0.500
Dy 0.500 0.500 0.199
Dy 0.500 0.000 0.097
Dy 0.500 0.000 0.903
Th 0.000 0.000 0.000
Dy 0.500 0.000 0.299
Dy 0.500 0.000 0.701
Pr 0.000 0.000 0.801
Dy 0.000 0.500 0.299
Dy 0.500 0.000 0.500
Dy 0.500 0.500 0.601
Dy 0.500 0.500 0.000

Results
Size of the total moment   0.0 μB/cell
V   32.4 Å³ per atom
Formation energy from the elements   0.023 eV/atom

***

DFT (PBE-GGA) results for a relaxed structure of PrDyTh2.

Lattice parameters (Å, degrees): 10.185 10.185 3.567 75.28 75.28 105.18
Positions (direct):
Pr 0.500 0.000 0.000
Th 0.718 0.542 0.290
Th 0.542 0.718 0.790
Pr 0.000 0.500 0.500
Dy 0.801 0.199 0.250
Th 0.458 0.282 0.210
Dy 0.199 0.801 0.750
Th 0.282 0.458 0.710

Results
Size of the total moment   0.0 μB/cell
V   40.5 Å³ per atom
Excess energy over the best structure of this formula in the dataset   523 meV/atom
Formation energy from the elements   0.553 eV/atom

***

DFT (PBE-GGA) results for a relaxed structure of Pr5Dy2Th.

Lattice parameters (Å, degrees): 5.173 7.298 14.598 90.00 90.00 90.00
Positions (direct):
Pr 0.000 0.493 0.752
Dy 0.500 0.761 0.378
Dy 0.500 0.261 0.122
Th 0.000 0.000 0.500
Pr 0.000 0.500 0.500
Pr 0.500 0.752 0.623
Pr 0.500 0.748 0.123
Pr 0.000 0.000 0.000
Pr 0.500 0.248 0.377
Pr 0.500 0.252 0.877
Th 0.000 0.500 0.000
Pr 0.000 0.007 0.252
Pr 0.000 0.993 0.748
Pr 0.000 0.507 0.248
Dy 0.500 0.739 0.878
Dy 0.500 0.239 0.622

Results
Size of the total moment   0.0 μB/cell
V   34.4 Å³ per atom
Formation energy from the elements   0.028 eV/atom

***

DFT (PBE-GGA) results for a relaxed structure of Pr3Dy3Th2.

Lattice parameters (Å, degrees): 5.082 5.105 10.941 103.49 103.43 90.00
Positions (direct):
Dy 0.871 0.871 0.743
Pr 0.371 0.371 0.743
Pr 0.500 0.000 0.000
Th 0.250 0.750 0.501
Dy 0.000 0.500 0.000
Dy 0.129 0.129 0.257
Th 0.750 0.250 0.499
Pr 0.629 0.629 0.257

Results
Size of the total moment   0.0 μB/cell
V   33.5 Å³ per atom
Formation energy from the elements   0.036 eV/atom

***

DFT (PBE-GGA) results for a relaxed structure of PrDy9Th2.

Lattice parameters (Å, degrees): 5.033 5.033 15.111 90.00 90.00 90.00
Positions (direct):
Dy 0.500 0.000 0.171
Dy 0.500 0.500 0.334
Dy 0.500 0.500 0.666
Dy 0.500 0.500 0.000
Dy 0.000 0.500 0.500
Th 0.000 0.000 0.335
Dy 0.500 0.000 0.500
Dy 0.000 0.500 0.171
Pr 0.000 0.000 0.000
Th 0.000 0.000 0.665
Dy 0.000 0.500 0.829
Dy 0.500 0.000 0.829

Results
Size of the total moment   0.0 μB/cell
V   31.9 Å³ per atom
Excess energy over the best structure of this formula in the dataset   0 meV/atom
Formation energy from the elements   0.030 eV/atom

***

DFT (PBE-GGA) results for a relaxed structure of PrDy6Th.

Lattice parameters (Å, degrees): 6.731 6.567 7.053 76.74 60.02 89.98
Positions (direct):
Dy 0.542 0.746 0.996
Dy 0.458 0.254 0.004
Dy 0.092 0.767 0.479
Dy 0.567 0.726 0.526
Pr 0.000 0.000 0.000
Th 0.000 0.500 0.000
Dy 0.908 0.233 0.521
Dy 0.433 0.274 0.474

Results
Size of the total moment   0.0 μB/cell
V   32.6 Å³ per atom
Excess energy over the best structure of this formula in the dataset   199 meV/atom
Formation energy from the elements   0.226 eV/atom

***

DFT (PBE-GGA) results for a relaxed structure of Pr15Dy4Th.

Lattice parameters (Å, degrees): 5.206 5.206 25.928 90.00 90.00 90.00
Positions (direct):
Pr 0.000 0.500 0.099
Pr 0.500 0.000 0.700
Pr 0.500 0.000 0.500
Pr 0.500 0.500 0.401
Pr 0.500 0.500 0.798
Dy 0.000 0.000 0.800
Pr 0.500 0.000 0.901
Dy 0.000 0.000 0.600
Pr 0.500 0.500 0.202
Pr 0.000 0.500 0.901
Th 0.000 0.000 0.000
Pr 0.500 0.500 0.000
Pr 0.500 0.000 0.099
Dy 0.000 0.000 0.200
Pr 0.000 0.500 0.700
Pr 0.000 0.500 0.500
Dy 0.000 0.000 0.400
Pr 0.000 0.500 0.300
Pr 0.500 0.000 0.300
Pr 0.500 0.500 0.599

Results
Size of the total moment   0.0 μB/cell
V   35.1 Å³ per atom
Formation energy from the elements   0.026 eV/atom

***

DFT (PBE-GGA) results for a relaxed structure of PrDyTh2.

Lattice parameters (Å, degrees): 3.567 3.567 10.357 90.00 90.00 90.00
Positions (direct):
Th 0.000 0.000 0.244
Th 0.000 0.000 0.756
Dy 0.500 0.500 0.000
Pr 0.500 0.500 0.500

Results
Size of the total moment   0.0 μB/cell
V   32.9 Å³ per atom
Excess energy over the best structure of this formula in the dataset   50 meV/atom
Formation energy from the elements   0.080 eV/atom

***

DFT (PBE-GGA) results for a relaxed structure of PrDy2Th.

Lattice parameters (Å, degrees): 5.712 5.712 5.712 60.00 60.00 60.00
Positions (direct):
Pr 0.500 0.500 0.500
Dy 0.750 0.750 0.750
Dy 0.250 0.250 0.250
Th 0.000 0.000 0.000

Results
Size of the total moment   0.0 μB/cell
V   32.9 Å³ per atom
Excess energy over the best structure of this formula in the dataset   129 meV/atom
Formation energy from the elements   0.143 eV/atom

***

DFT (PBE-GGA) results for a relaxed structure of Pr3Dy7Th2.

Lattice parameters (Å, degrees): 19.459 19.459 3.605 90.00 90.00 162.90
Positions (direct):
Dy 0.912 0.088 0.500
Th 0.354 0.646 0.500
Dy 0.088 0.912 0.500
Th 0.646 0.354 0.500
Pr 0.815 0.185 0.000
Pr 0.185 0.815 0.000
Pr 0.500 0.500 0.500
Dy 0.428 0.572 0.000
Dy 0.572 0.428 0.000
Dy 0.000 0.000 0.000
Dy 0.729 0.271 0.500
Dy 0.271 0.729 0.500

Results
Size of the total moment   0.0 μB/cell
V   33.5 Å³ per atom
Formation energy from the elements   0.159 eV/atom